Density functional theory data (PBE) for a relaxed structure of TaCuNi.

Values from the calculation:
crystal system	orthorhombic
D(E_F)	1.79	states/eV per cell
E_form	-10.3	kJ per mole of atoms
SG	No. 44
polymorph energy (0 for the lowest one)	9	meV/atom
V	40.70	Å³/cell
final energy	-7.350	eV/atom

a b c (Å): 4.6190 4.6190 4.6190
angles (deg): 145.16 133.13 59.70
Closest atoms and distances in Å follow each position.
Fractional coordinates of all 3 atoms:
Ni1 0.6621 0.6621 0.0000  5 Cu 2.62-2.76, 5 Ta 2.65-2.67, 2 Ni 2.77
Cu1 0.0062 0.0062 0.0000  5 Ta 2.61-2.69, 5 Ni 2.62-2.76, 2 Cu 2.77
Ta1 0.3317 0.3317 0.0000  5 Cu 2.61-2.69, 5 Ni 2.65-2.67, 2 Ta 2.77

---

Density functional theory data (PBE) for a relaxed structure of TaCu2Ni.

Values from the calculation:
crystal system	tetragonal
D(E_F)	1.98	states/eV per cell
E_form	2.0	kJ per mole of atoms
SG	No. 139
V	52.73	Å³/cell
final energy	-6.436	eV/atom

a b c (Å): 4.5885 4.5885 4.5885
angles (deg): 131.72 131.72 70.67
Closest atoms and distances in Å follow each position.
Fractional coordinates of all 4 atoms:
Cu1 0.0000 0.0000 0.0000  4 Ta 2.65, 4 Ni 2.65, 4 Cu 2.65
Cu2 0.5000 0.5000 0.0000  4 Ni 2.65, 4 Ta 2.65, 4 Cu 2.65
Ni1 0.2500 0.7500 0.5000  8 Cu 2.65, 4 Ta 2.65
Ta1 0.7500 0.2500 0.5000  8 Cu 2.65, 4 Ni 2.65

---

Among the records above, which one has the lowest E_form?
TaCuNi